No. 1
A plane-wave DFT calculation with PBE-GGA was carried out for a relaxed structure of Sr2YInO.

Output
Symmetry: No. 123

Cell and atoms, written as extended XYZ:
```
5
Lattice="5.179 0.000 0.000 0.000 5.179 0.000 0.000 0.000 4.882" Properties=species:S:1:pos:R:3 pbc="T T T"
Sr 0.000 2.589 0.000
Sr 2.589 0.000 0.000
Y 0.000 0.000 2.441
In 2.589 2.589 2.441
O 0.000 0.000 0.000
```

No. 2
A plane-wave DFT calculation with PBE-GGA was carried out for a relaxed structure of SrY2InO.

Output
Symmetry: No. 123

Cell and atoms, written as extended XYZ:
```
5
Lattice="4.851 0.000 0.000 0.000 4.851 0.000 0.000 0.000 5.082" Properties=species:S:1:pos:R:3 pbc="T T T"
Sr 0.000 0.000 0.000
Y 0.000 2.425 2.541
Y 2.425 0.000 2.541
In 2.425 2.425 0.000
O 0.000 0.000 2.541
```

no.,formation energy (no corrections) (kJ/mol of atoms),density of states at the Fermi level (states/eV per cell)
1,-123.5,3.0
2,-128.2,1.8